ZnTc2As: PBEsol geometry, SCAN.

a b c (Å): 4.3306 4.3306 4.3306
angles (deg): 60.00 60.00 60.00
With the nearest neighbours (Å) after each atom.
Fractional coordinates of all 4 atoms:
Tc  0.0000  0.0000  0.0000  4 Zn 2.65, 4 Tc 2.65
As  0.5000  0.5000  0.5000  4 Tc 2.65, 4 Zn 2.65
Zn  0.2500  0.2500  0.2500  4 As 2.65, 4 Tc 2.65
Tc  0.7500  0.7500  0.7500  4 As 2.65, 4 Tc 2.65

Results
Space-group type ... F-43m (216)
Energy of formation from the pure elements ... 5.693 kcal/mol of atoms